Entry 1:
A plane-wave DFT calculation with PBE was carried out for an optimized crystal structure of YCdRu2.

Summary:
space group = R3m, No. 160
calculated formation energy = 0.390 eV/atom

Unit cell a=9.960 b=9.960 c=9.960 alpha=17.10 beta=17.10 gamma=17.10
Last column: magnetic moment on the atom in μB.
Sites, in units of the cell vectors:
Cd 0.741 0.741 0.741  0.00
Ru 0.993 0.993 0.993  0.01
Ru 0.260 0.260 0.260  0.04
Y 0.507 0.507 0.507  0.10



Entry 2:
A plane-wave DFT calculation with PBE was carried out for an optimized crystal structure of Pr6ZnCo2Cl3.

Summary:
space group = C2/m, No. 12
E = -0.3637 Ry/atom

Unit cell a=7.100 b=7.100 c=7.896 alpha=98.63 beta=98.63 gamma=120.07
Sites, in units of the cell vectors:
Pr 0.931 0.569 0.791
Pr 0.709 0.709 0.210
Pr 0.069 0.431 0.209
Pr 0.569 0.931 0.791
Pr 0.291 0.291 0.790
Pr 0.431 0.069 0.209
Zn 0.000 0.000 0.000
Co 0.334 0.666 0.000
Co 0.666 0.334 0.000
Cl 0.167 0.833 0.500
Cl 0.833 0.167 0.500
Cl 0.500 0.500 0.500



Entry 3:
A plane-wave DFT calculation with PBE was carried out for an optimized crystal structure of AcTlPbO.

Summary:
space group = I4mm, No. 107
E = -0.3705 Ry/atom

Unit cell a=3.531 b=3.531 c=9.793 alpha=100.39 beta=100.39 gamma=90.00
Sites, in units of the cell vectors:
Ac 0.858 0.858 0.716
Tl 0.571 0.571 0.143
Pb 0.200 0.200 0.399
O 0.383 0.383 0.766



Entry 4:
A plane-wave DFT calculation with PBE was carried out for an optimized crystal structure of ReNiHg.

Summary:
space group = I4mm, No. 107
calculated formation energy = 0.435 eV/atom

Unit cell a=6.151 b=6.151 c=2.831 alpha=76.70 beta=76.70 gamma=26.61
Sites, in units of the cell vectors:
Hg 0.993 0.993 0.007
Ni 0.318 0.318 0.682
Re 0.688 0.688 0.312



Entry 5:
A plane-wave DFT calculation with PBE was carried out for an optimized crystal structure of Sr2MgTl6Sn.

Summary:
space group = P-1, No. 2
calculated formation energy = -0.182 eV/atom

Unit cell a=8.367 b=8.351 c=5.758 alpha=79.82 beta=53.78 gamma=94.74
Sites, in units of the cell vectors:
Sr 0.065 0.757 0.504
Sr 0.935 0.243 0.496
Mg 0.500 0.500 0.000
Tl 0.381 0.791 0.729
Tl 0.617 0.852 0.023
Tl 0.221 0.413 0.703
Tl 0.619 0.209 0.271
Tl 0.383 0.148 0.977
Tl 0.779 0.587 0.297
Sn 0.000 0.000 0.000



Entry 6:
A plane-wave DFT calculation with PBE was carried out for an optimized crystal structure of Li17Ca2.

Summary:
space group = R-3m, No. 166
calculated formation energy = 0.021 eV/atom

Unit cell a=7.614 b=7.614 c=7.614 alpha=82.72 beta=82.72 gamma=82.72
Sites, in units of the cell vectors:
Li 0.647 0.647 0.147
Li 0.147 0.647 0.647
Li 0.901 0.901 0.901
Li 0.099 0.099 0.099
Li 0.000 0.000 0.500
Li 0.000 0.500 0.000
Li 0.500 0.000 0.000
Li 0.293 0.707 0.000
Li 0.707 0.000 0.293
Li 0.000 0.293 0.707
Li 0.707 0.293 0.000
Li 0.293 0.000 0.707
Li 0.000 0.707 0.293
Li 0.853 0.353 0.353
Li 0.353 0.353 0.853
Li 0.353 0.853 0.353
Li 0.647 0.147 0.647
Ca 0.342 0.342 0.342
Ca 0.658 0.658 0.658



Entry 7:
A plane-wave DFT calculation with PBE was carried out for an optimized crystal structure of SrY2Sb.

Summary:
space group = Immm, No. 71
E = -0.3768 Ry/atom

Unit cell a=6.866 b=6.866 c=5.627 alpha=65.80 beta=65.80 gamma=34.23
Sites, in units of the cell vectors:
Sb 0.750 0.750 0.750
Sr 0.250 0.250 0.250
Y 0.046 0.046 0.954
Y 0.454 0.454 0.546



Entry 8:
A plane-wave DFT calculation with PBE was carried out for an optimized crystal structure of AlAgPt2.

Summary:
space group = I4/mmm, No. 139
calculated formation energy = -0.517 eV/atom

Unit cell a=4.706 b=4.706 c=4.706 alpha=128.37 beta=128.37 gamma=76.03
Sites, in units of the cell vectors:
Ag 0.250 0.750 0.500
Pt 0.000 0.000 0.000
Pt 0.500 0.500 0.000
Al 0.750 0.250 0.500



These records have spin magnetization values of 0.20 0.00 0.00 0.00 0.00 0.00 0.00 0.00 Bohr magnetons per cell, in the order they appear.
These records have ρ values of 9.0 5.7 9.2 15.9 8.3 0.8 4.8 14.0 g cm⁻³, in the order they appear.